Entry 1:
Entry from OQMD via LeMat-Bulk: crystalline Gd2Co7 at its relaxed geometry (PBE-GGA).

It has space group R-3m (No. 166, hexagonal axes), with a = 4.9653 Å, b = 4.9653 Å, c = 36.0762 Å, α = 90.00°, β = 90.00° and γ = 120.00°. The inequivalent atoms are Gd at (0.0000, 0.0000, 0.0514), Gd at (0.0000, 0.0000, 0.1480), Co at (0.0000, 0.0000, 0.2787), Co at (0.0000, 0.0000, 0.3881), Co at (0.0000, 0.0000, 0.5000), Co at (0.0000, 0.5000, 0.0000) and Co at (0.0000, 0.5000, 0.1087).

The value obtained for the offset from the most stable computed form is 0.365 eV per formula unit. Its formation energy is -0.0513 eV/atom.


Entry 2:
Entry from OQMD via LeMat-Bulk: crystalline Pr3HoEr2Te2Pd at its relaxed geometry (PBE-GGA).

It has space group Amm2 (No. 38), with a = 4.077 Å, b = 14.773 Å, c = 8.524 Å, α = 90.00°, β = 90.00° and γ = 90.00°. The inequivalent atoms are Pr at (0.000, 0.000, 0.000), Pr at (0.000, 0.203, 0.391), Ho at (0.500, 0.000, 0.353), Er at (0.500, 0.120, 0.714), Te at (0.500, 0.167, 0.094) and Pd at (0.000, 0.000, 0.595).

The total energy is -5.25 eV per atom.


Entry 3:
Entry from OQMD via LeMat-Bulk: crystalline BiPd17 at its relaxed geometry (PBE-GGA).

It has space group P-3m1 (No. 164), with a = 5.5572 Å, b = 5.5572 Å, c = 31.3684 Å, α = 90.00°, β = 90.00° and γ = 120.00°. The inequivalent atoms are Bi at (0.3333, 0.6667, 0.3001), Pd at (0.0000, 0.0000, 0.0000), Pd at (0.0000, 0.0000, 0.2182), Pd at (0.0000, 0.5000, 0.0000), Pd at (0.0011, 0.5005, 0.2189), Pd at (0.1662, 0.3323, 0.7075), Pd at (0.1667, 0.3333, 0.9274), Pd at (0.1671, 0.3341, 0.1454), Pd at (0.3333, 0.6667, 0.0724) and Pd at (0.3333, 0.6667, 0.8545).

The total energy is -5.10 eV per atom.